# Ta2CdCl, relaxed, DFT PBE-GGA
data_Ta2CdCl
_cell_length_a 6.805
_cell_length_b 6.805
_cell_length_c 6.805
_cell_angle_alpha 90.00
_cell_angle_beta 90.00
_cell_angle_gamma 90.00
_symmetry_space_group_name_H-M 'F -4 3 m'
_symmetry_Int_Tables_number 216
_symmetry_space_group_name_Hall 'F -4 2 3'
loop_
_atom_site_label
_atom_site_type_symbol
_atom_site_fract_x
_atom_site_fract_y
_atom_site_fract_z
Ta1 Ta 0.000 0.000 0.000
Ta2 Ta 0.250 0.250 0.250
Cd1 Cd 0.250 0.250 0.750
Cl1 Cl 0.000 0.000 0.500
# - DOS at the Fermi energy (states/eV per cell) = 24.9
# - final energy (Ry/atom) = -0.4163
# - crystal system = cubic
# - theoretical density (g cm⁻³) = 10.743
# - ΔE_f (raw) (eV per atom) = 0.952